1.
First-principles (PBE-GGA) data for crystalline Ac3PaSe7 at its relaxed geometry, as listed in Alexandria.

For the calculated volume, the calculation gives 1476 Å³/cell. The value obtained for the uncorrected formation energy is -1.802 eV/atom.

The space group is C222_1 (No. 20) and the conventional cell measures 9.9365, 14.3464 and 10.3571 Å, with angles of 90.00, 90.00 and 90.00 degrees. The asymmetric unit holds Ac at (0.0006, 0.0000, 0.0000), Ac at (0.2278, 0.2744, 0.2500), Pa at (0.0001, 0.5000, 0.0000), Se at (0.0000, 0.1271, 0.7500), Se at (0.0000, 0.1326, 0.2500), Se at (0.0000, 0.4291, 0.2500), Se at (0.2083, 0.3741, 0.5298) and Se at (0.2083, 0.3740, 0.9703).



2.
First-principles (PBE-GGA) data for crystalline Na2MnCS at its relaxed geometry, as listed in Alexandria.

For the calculated volume, the calculation gives 113 Å³/cell. The value obtained for the uncorrected formation energy is 0.646 eV/atom. The value obtained for the energy above the most stable polymorph in this dataset is 0.000 eV/atom.

The space group is P4/mmm (No. 123) and the conventional cell measures 5.6001, 5.6001 and 3.6147 Å, with angles of 90.00, 90.00 and 90.00 degrees. The asymmetric unit holds Na at (0.0000, 0.5000, 0.0000), Mn at (0.0000, 0.0000, 0.0000), C at (0.0000, 0.0000, 0.5000) and S at (0.5000, 0.5000, 0.5000).



3.
First-principles (PBE-GGA) data for crystalline TbCeBi at its relaxed geometry, as listed in Alexandria.

For the calculated volume, the calculation gives 181 Å³/cell. The value obtained for the calculated formation energy is -398 meV per atom.

The space group is I4mm (No. 107) and the conventional cell measures 4.1332, 4.1332 and 10.5891 Å, with angles of 90.00, 90.00 and 90.00 degrees. The asymmetric unit holds Tb at (0.0000, 0.0000, 0.0000), Ce at (0.0000, 0.0000, 0.6929) and Bi at (0.0000, 0.0000, 0.3544).



4.
First-principles (PBE-GGA) data for crystalline Li2Tl5S4 at its relaxed geometry, as listed in Alexandria.

For the calculated volume, the calculation gives 314 Å³/cell. The value obtained for the uncorrected formation energy is -0.505 eV/atom.

The space group is P-1 (No. 2) and the conventional cell measures 3.9560, 8.9791 and 9.6817 Å, with angles of 110.33, 90.07 and 102.67 degrees. The asymmetric unit holds Li at (0.0137, 0.0309, 0.1511), Tl at (0.0000, 0.0000, 0.5000), Tl at (0.3011, 0.6029, 0.7180), Tl at (0.3507, 0.7011, 0.1508), S at (0.1235, 0.2466, 0.0437) and S at (0.4612, 0.9203, 0.6817).



- Which of these has the highest calculated volume?
  Ac3PaSe7



- Which formula does entry 3 have?
  TbCeBi



- Number 1 is which compound?
  Ac3PaSe7